No. 1
Computed, not measured: an optimized crystal structure of LiMn3Fe2O8 at the PBE with a Hubbard U level of DFT.

Symmetry: R3m
Raw total energy, eV per atom: -6.906
Total magnetization, μB/f.u.: 22.0

abc: 6.0074 6.0074 6.0074
angles: 60.67 60.67 60.67
Last column: nearest neighbours and their distance in Å.
Sites, in units of the cell vectors:
Li: 0.0000 0.0000 0.0000  4 O 1.89-2.06
Mn: 0.1108 0.6276 0.6276  5 O 1.98-2.08
Mn: 0.6276 0.1108 0.6276  5 O 1.98-2.08
Mn: 0.6276 0.6276 0.1108  5 O 1.98-2.08
Fe: 0.2406 0.2406 0.2406  4 O 1.83-1.99
Fe: 0.6247 0.6247 0.6247  6 O 2.01-2.12
O: 0.3659 0.3659 0.3659  1 Fe 1.83
O: 0.3777 0.3777 0.8379  2 Fe 1.99-2.12, 2 Mn 2.05
O: 0.3777 0.8379 0.3777  2 Fe 1.99-2.12, 2 Mn 2.05
O: 0.4158 0.8601 0.8601  2 Mn 1.98, 1 Fe 2.01, 1 Li 2.06
O: 0.8379 0.3777 0.3777  2 Fe 1.99-2.12, 2 Mn 2.05
O: 0.8601 0.4158 0.8601  2 Mn 1.98, 1 Fe 2.01, 1 Li 2.06
O: 0.8601 0.8601 0.4158  2 Mn 1.98, 1 Fe 2.01, 1 Li 2.06
O: 0.8711 0.8711 0.8711  1 Li 1.89, 3 Mn 2.08


No. 2
Computed, not measured: an optimized crystal structure of FeAs2BrF at the PBE with a Hubbard U level of DFT.

Distance to the lowest polymorph of the same formula, eV per atom: 0.045
Symmetry: P4/mmm
Raw total energy, eV per atom: -3.286
Total magnetization, μB/f.u.: 3.7

abc: 4.2925 4.2925 5.8573
angles: 90.00 90.00 90.00
Last column: nearest neighbours and their distance in Å.
Sites, in units of the cell vectors:
Fe: 0.0000 0.0000 0.0000  4 Br 3.04
As: 0.0000 0.5000 0.5000  2 F 2.15
As: 0.5000 0.0000 0.5000  2 F 2.15
Br: 0.5000 0.5000 0.0000  2 F 2.93, 4 Fe 3.04
F: 0.5000 0.5000 0.5000  4 As 2.15